DFT (PBE-GGA) results for a relaxed structure of TaVBr3.

```
5
Lattice="5.116 0.000 0.000 0.000 5.116 0.000 0.000 0.000 5.116" Properties=species:S:1:pos:R:3 pbc="T T T"
Ta 0.000 0.000 0.000
V 2.558 2.558 2.558
Br 0.000 2.558 2.558
Br 2.558 0.000 2.558
Br 2.558 2.558 0.000
```

Results
energy: -4.4888 eV per atom
magnetization: 6.9 Bohr magnetons per cell
density of states at the Fermi level: 7.2 states/eV per cell
energy relative to the elements, uncorrected: 709 meV/atom
offset from the most stable computed form: 116 meV per atom
symmetry: No. 221